Record 1
Compound: CaNiSn2
Source: Alexandria
Functional: GGA-PBE
Structure: optimized geometry

Geometry as extended XYZ:
```
4
Lattice="4.3061 0.0000 0.0000 2.1531 3.7292 0.0000 2.1531 1.2431 5.9029" Properties=species:S:1:pos:R:3 pbc="T T T"
Sn 2.1531 1.2431 0.9193
Ni 0.0000 0.0000 0.0000
Ca 4.3061 2.4862 2.9514
Sn 6.4592 3.7292 4.9836
```

Results
E_tot, eV per atom: -4.365
Magnetization, μB/cell: 0.000

=====

Record 2
Compound: Ca3Ni6Sn5
Source: Alexandria
Functional: GGA-PBE
Structure: optimized geometry

Geometry as extended XYZ:
```
28
Lattice="4.3598 0.0000 0.0000 0.0000 9.5997 0.0000 0.0000 0.0000 13.0520" Properties=species:S:1:pos:R:3 pbc="T T T"
Sn 2.1799 4.6471 8.0923
Ni 2.1799 9.5072 0.0000
Sn 2.1799 1.4730 6.5260
Ca 0.0000 2.3713 8.8049
Ni 0.0000 4.9796 6.5260
Ni 2.1799 0.0151 4.4008
Sn 0.0000 8.1267 0.0000
Ni 0.0000 0.0925 6.5260
Sn 0.0000 8.2824 8.6920
Ni 0.0000 9.5846 2.1252
Sn 2.1799 1.3172 2.1661
Ni 2.1799 3.9097 2.4806
Ni 0.0000 5.6900 4.0454
Sn 2.1799 4.6471 4.9596
Ca 2.1799 7.2284 10.7731
Ca 2.1799 7.3999 6.5260
Sn 0.0000 4.9526 1.5664
Ni 0.0000 9.5846 10.9268
Sn 2.1799 1.3172 10.8859
Ni 2.1799 4.6201 0.0000
Ni 2.1799 0.0151 8.6511
Ni 2.1799 3.9097 10.5714
Ca 2.1799 7.2284 2.2789
Ni 0.0000 5.6900 9.0066
Ca 0.0000 2.1998 0.0000
Sn 0.0000 4.9526 11.4856
Ca 0.0000 2.3713 4.2471
Sn 0.0000 8.2824 4.3599
```

Results
E_tot, eV per atom: -4.707
Magnetization, μB/cell: 0.000

=====

Record 3
Compound: CaNiSn
Source: Alexandria
Functional: GGA-PBE
Structure: optimized geometry

Geometry as extended XYZ:
```
12
Lattice="-5.1689 -2.0495 -3.2061 3.7167 -1.4026 -5.0955 -0.1571 -5.6971 3.8952" Properties=species:S:1:pos:R:3 pbc="T T T"
Ni -4.6812 -5.7621 -0.5334
Ni 3.0720 -3.3870 -3.8730
Sn -2.0173 -5.1501 -4.5424
Ni -0.5760 -6.2128 -0.4390
Sn -2.7878 -6.8349 0.6764
Ca 0.3263 -1.1485 -1.6273
Sn 0.4081 -3.9990 0.1360
Ca -1.9356 -8.0007 -2.7792
Ca 0.9983 -5.1376 -2.9146
Ni -1.0332 -2.9364 -3.9674
Sn 1.1786 -2.3142 -5.0828
Ca -2.6075 -4.0116 -1.4918
```

Results
E_tot, eV per atom: -4.394
Magnetization, μB/cell: 0.000

=====

Number 1: energy relative to the elements -418 meV per atom. Number 2: energy relative to the elements -371 meV per atom. Number 3: energy relative to the elements -466 meV per atom.